An optimized crystal structure of LaMn2Co. Source: Alexandria, functional PBE.

Cell: 4.0353 4.0134 4.7879 Å, 90.00 108.42 90.00°
With the nearest neighbours (Å) after each atom.
Space group P2/m (No. 10)
Inequivalent atoms, fractional coordinates:
La (0.0000, 0.0000, 0.0000) [1 per cell]  2 Co 2.60
Mn (0.2626, 0.5000, 0.6112) [2 per cell]  1 Mn 2.05
Co (0.5000, 0.0000, 0.5000) [1 per cell]  4 Mn 2.36, 2 La 2.60

Calculated values
uncorrected energy	-0.2621	Ha/atom
D(E_F)	6.1	states/eV per cell
energy of formation	0.46	eV per atom